1.
# Ta2Mo2Pt

A geometry-optimized Ta2Mo2Pt structure (PBE-GGA, Alexandria).

Properties
DFT total energy: -48.96 eV/f.u.

abc: 3.5740 3.5740 14.2262
angles: 90.00 90.00 90.00
Closest atoms and distances in Å follow each position.
Space group I4/mmm (No. 139)
Symmetry-distinct sites (fractional):
Ta: 0.0000 0.0000 0.0931 x4  1 Ta 2.65, 4 Pt 2.85, 4 Mo 2.86
Mo: 0.0000 0.5000 0.2500 x4  4 Mo 2.53
Pt: 0.0000 0.0000 0.5000 x2  8 Ta 2.85


2.
# Hf2TaCd

A geometry-optimized Hf2TaCd structure (PBE-GGA, Alexandria).

Properties
DFT total energy: -32.30 eV/f.u.

abc: 4.3978 4.3978 4.2301
angles: 90.00 90.00 90.00
Closest atoms and distances in Å follow each position.
Space group P4/mmm (No. 123)
Symmetry-distinct sites (fractional):
Hf: 0.0000 0.5000 0.0000 x2  4 Cd 3.05, 4 Ta 3.05, 4 Hf 3.11
Ta: 0.0000 0.0000 0.5000 x1  8 Hf 3.05, 4 Cd 3.11
Cd: 0.5000 0.5000 0.5000 x1  8 Hf 3.05, 4 Ta 3.11


3.
# Tb6CoAu3

A geometry-optimized Tb6CoAu3 structure (PBE-GGA, Alexandria).

Properties
DFT total energy: -49.79 eV/f.u.

abc: 6.9394 7.6523 11.8559
angles: 90.00 121.26 90.00
Closest atoms and distances in Å follow each position.
Space group P2_1/c (No. 14)
Symmetry-distinct sites (fractional):
Tb: 0.0808 0.0488 0.2414 x4  1 Co 2.64, 1 Au 2.96
Tb: 0.2187 0.6952 0.0727 x4  1 Co 2.67, 1 Au 2.92
Tb: 0.3759 0.1655 0.0615 x4  1 Co 2.64, 1 Au 2.91
Co: 0.0000 0.0000 0.0000 x2  6 Tb 2.64-2.67
Au: 0.3135 0.1119 0.7581 x4  6 Tb 2.99-3.16
Au: 0.5000 0.0000 0.5000 x2  6 Tb 2.91-2.96


4.
# CsK2Ga2

A geometry-optimized CsK2Ga2 structure (PBE-GGA, Alexandria).

Properties
Energy above the lowest structure with this stoichiometry: 0.167 eV per atom
DFT total energy: -7.93 eV/f.u.

abc: 10.2230 10.2230 3.9940
angles: 90.00 90.00 90.00
Closest atoms and distances in Å follow each position.
Space group P4/mbm (No. 127)
Symmetry-distinct sites (fractional):
Cs: 0.0000 0.0000 0.0000 x2  2 Cs 3.99, 4 K 4.00, 8 Ga 4.32
K: 0.1314 0.3686 0.0000 x4  6 Ga 3.60-3.61, 3 K 3.80-3.99, 2 Cs 4.00
Ga: 0.1614 0.6614 0.5000 x4  6 K 3.60-3.61, 2 Ga 3.99


| no. | mass density (g/cm³) |
| --- | --- |
| 1 | 13.69 |
| 2 | 13.20 |
| 3 | 9.89 |
| 4 | 2.79 |